1.
# NaNd5S6 PBE-GGA optimized geometry
# volume: 23.68 Å³/atom
# space-group type: C2/m, No. 12
# total energy: -6.12 eV per atom
# calculated density: 5.47 g cm⁻³
data_NaNd5S6
_chemical_formula_sum 'Na1 Nd5 S6'
_cell_length_a 7.031
_cell_length_b 7.031
_cell_length_c 7.041
_cell_angle_alpha 99.60
_cell_angle_beta 99.60
_cell_angle_gamma 120.00
_space_group_name_H-M_alt 'P 1'
_space_group_IT_number 1
_space_group_name_Hall 'P 1'
loop_
_atom_site_label
_atom_site_type_symbol
_atom_site_fract_x
_atom_site_fract_y
_atom_site_fract_z
_atom_site_occupancy
Na1 Na 0.000 0.000 0.000 1
Nd1 Nd 0.666 0.334 0.000 1
Nd2 Nd 0.334 0.666 0.000 1
Nd3 Nd 0.836 0.164 0.500 1
Nd4 Nd 0.500 0.500 0.500 1
Nd5 Nd 0.164 0.836 0.500 1
S1 S 0.752 0.752 0.245 1
S2 S 0.415 0.083 0.250 1
S3 S 0.083 0.415 0.250 1
S4 S 0.917 0.585 0.750 1
S5 S 0.585 0.917 0.750 1
S6 S 0.248 0.248 0.755 1

2.
# NaNdS2 PBE-GGA optimized geometry
# volume: 23.68 Å³/atom
# space-group type: P2_1/c, No. 14
# total energy: -5.28 eV per atom
# calculated density: 4.06 g cm⁻³
data_NaNdS2
_chemical_formula_sum 'Na4 Nd4 S8'
_cell_length_a 5.594
_cell_length_b 11.643
_cell_length_c 5.818
_cell_angle_alpha 90.00
_cell_angle_beta 90.06
_cell_angle_gamma 90.00
_space_group_name_H-M_alt 'P 1'
_space_group_IT_number 1
_space_group_name_Hall 'P 1'
loop_
_atom_site_label
_atom_site_type_symbol
_atom_site_fract_x
_atom_site_fract_y
_atom_site_fract_z
_atom_site_occupancy
Na1 Na 0.499 0.375 0.249 1
Na2 Na 0.501 0.875 0.251 1
Na3 Na 0.499 0.125 0.749 1
Na4 Na 0.501 0.625 0.751 1
Nd1 Nd 0.998 0.125 0.249 1
Nd2 Nd 0.002 0.625 0.251 1
Nd3 Nd 0.998 0.375 0.749 1
Nd4 Nd 0.002 0.875 0.751 1
S1 S 0.499 0.125 0.249 1
S2 S 0.999 0.375 0.250 1
S3 S 0.001 0.875 0.250 1
S4 S 0.501 0.625 0.251 1
S5 S 0.499 0.375 0.749 1
S6 S 0.999 0.125 0.750 1
S7 S 0.001 0.625 0.750 1
S8 S 0.501 0.875 0.751 1

3.
# NaNdZnS3 PBE-GGA optimized geometry
# volume: 24.55 Å³/atom
# space-group type: P2_1/m, No. 11
# total energy: -4.66 eV per atom
# calculated density: 3.71 g cm⁻³
data_NaNdZnS3
_chemical_formula_sum 'Na2 Nd2 Zn2 S6'
_cell_length_a 7.808
_cell_length_b 4.000
_cell_length_c 9.690
_cell_angle_alpha 90.00
_cell_angle_beta 103.33
_cell_angle_gamma 90.00
_space_group_name_H-M_alt 'P 1'
_space_group_IT_number 1
_space_group_name_Hall 'P 1'
loop_
_atom_site_label
_atom_site_type_symbol
_atom_site_fract_x
_atom_site_fract_y
_atom_site_fract_z
_atom_site_occupancy
Na1 Na 0.254 0.750 0.239 1
Na2 Na 0.746 0.250 0.761 1
Nd1 Nd 0.801 0.750 0.366 1
Nd2 Nd 0.199 0.250 0.634 1
S1 S 0.718 0.750 0.047 1
S2 S 0.541 0.250 0.335 1
S3 S 0.048 0.250 0.343 1
S4 S 0.952 0.750 0.657 1
S5 S 0.459 0.750 0.665 1
S6 S 0.282 0.250 0.953 1
Zn1 Zn 0.576 0.250 0.104 1
Zn2 Zn 0.424 0.750 0.896 1

4.
# NaNdZnS3 PBE-GGA optimized geometry
# volume: 23.15 Å³/atom
# space-group type: C2/m, No. 12
# total energy: -4.57 eV per atom
# calculated density: 3.93 g cm⁻³
data_NaNdZnS3
_chemical_formula_sum 'Na2 Nd2 Zn2 S6'
_cell_length_a 9.390
_cell_length_b 9.390
_cell_length_c 7.840
_cell_angle_alpha 105.05
_cell_angle_beta 105.05
_cell_angle_gamma 24.64
_space_group_name_H-M_alt 'P 1'
_space_group_IT_number 1
_space_group_name_Hall 'P 1'
loop_
_atom_site_label
_atom_site_type_symbol
_atom_site_fract_x
_atom_site_fract_y
_atom_site_fract_z
_atom_site_occupancy
Na1 Na 0.119 0.119 0.079 1
Na2 Na 0.881 0.881 0.921 1
Nd1 Nd 0.825 0.825 0.401 1
Nd2 Nd 0.175 0.175 0.599 1
S1 S 0.500 0.500 0.000 1
S2 S 0.338 0.338 0.163 1
S3 S 0.671 0.671 0.350 1
S4 S 0.000 0.000 0.500 1
S5 S 0.329 0.329 0.650 1
S6 S 0.662 0.662 0.837 1
Zn1 Zn 0.469 0.469 0.268 1
Zn2 Zn 0.531 0.531 0.732 1

5.
# NaNdZnS3 PBE-GGA optimized geometry
# volume: 21.77 Å³/atom
# space-group type: Pnma, No. 62
# total energy: -4.65 eV per atom
# calculated density: 4.18 g cm⁻³
data_NaNdZnS3
_chemical_formula_sum 'Na4 Nd4 Zn4 S12'
_cell_length_a 8.058
_cell_length_b 4.042
_cell_length_c 16.036
_cell_angle_alpha 90.00
_cell_angle_beta 90.00
_cell_angle_gamma 90.00
_space_group_name_H-M_alt 'P 1'
_space_group_IT_number 1
_space_group_name_Hall 'P 1'
loop_
_atom_site_label
_atom_site_type_symbol
_atom_site_fract_x
_atom_site_fract_y
_atom_site_fract_z
_atom_site_occupancy
Na1 Na 0.428 0.250 0.227 1
Na2 Na 0.928 0.250 0.273 1
Na3 Na 0.072 0.750 0.727 1
Na4 Na 0.572 0.750 0.773 1
Nd1 Nd 0.738 0.750 0.049 1
Nd2 Nd 0.238 0.750 0.451 1
Nd3 Nd 0.762 0.250 0.549 1
Nd4 Nd 0.262 0.250 0.951 1
S1 S 0.374 0.750 0.059 1
S2 S 0.000 0.250 0.089 1
S3 S 0.688 0.750 0.219 1
S4 S 0.188 0.750 0.281 1
S5 S 0.500 0.250 0.411 1
S6 S 0.874 0.750 0.441 1
S7 S 0.126 0.250 0.559 1
S8 S 0.500 0.750 0.589 1
S9 S 0.812 0.250 0.719 1
S10 S 0.312 0.250 0.781 1
S11 S 0.000 0.750 0.911 1
S12 S 0.626 0.250 0.941 1
Zn1 Zn 0.134 0.750 0.142 1
Zn2 Zn 0.634 0.750 0.358 1
Zn3 Zn 0.366 0.250 0.642 1
Zn4 Zn 0.866 0.250 0.858 1

6.
# NaNdZnS3 PBE-GGA optimized geometry
# volume: 22.17 Å³/atom
# space-group type: Pnma, No. 62
# total energy: -4.70 eV per atom
# calculated density: 4.10 g cm⁻³
data_NaNdZnS3
_chemical_formula_sum 'Na4 Nd4 Zn4 S12'
_cell_length_a 11.329
_cell_length_b 4.049
_cell_length_c 11.600
_cell_angle_alpha 90.00
_cell_angle_beta 90.00
_cell_angle_gamma 90.00
_space_group_name_H-M_alt 'P 1'
_space_group_IT_number 1
_space_group_name_Hall 'P 1'
loop_
_atom_site_label
_atom_site_type_symbol
_atom_site_fract_x
_atom_site_fract_y
_atom_site_fract_z
_atom_site_occupancy
Na1 Na 0.152 0.000 0.008 1
Na2 Na 0.652 0.000 0.492 1
Na3 Na 0.348 0.500 0.508 1
Na4 Na 0.848 0.500 0.992 1
Nd1 Nd 0.475 0.500 0.177 1
Nd2 Nd 0.975 0.500 0.323 1
Nd3 Nd 0.025 0.000 0.677 1
Nd4 Nd 0.525 0.000 0.823 1
S1 S 0.607 0.000 0.062 1
S2 S 0.942 0.000 0.152 1
S3 S 0.214 0.500 0.186 1
S4 S 0.714 0.500 0.314 1
S5 S 0.442 0.000 0.348 1
S6 S 0.107 0.000 0.438 1
S7 S 0.893 0.500 0.562 1
S8 S 0.558 0.500 0.652 1
S9 S 0.286 0.000 0.686 1
S10 S 0.786 0.000 0.814 1
S11 S 0.058 0.500 0.848 1
S12 S 0.393 0.500 0.938 1
Zn1 Zn 0.747 0.000 0.207 1
Zn2 Zn 0.247 0.000 0.293 1
Zn3 Zn 0.753 0.500 0.707 1
Zn4 Zn 0.253 0.500 0.793 1

7.
# NaNdZnS3 PBE-GGA optimized geometry
# volume: 23.61 Å³/atom
# space-group type: Cmcm, No. 63
# total energy: -4.67 eV per atom
# calculated density: 3.85 g cm⁻³
data_NaNdZnS3
_chemical_formula_sum 'Na2 Nd2 Zn2 S6'
_cell_length_a 6.765
_cell_length_b 6.765
_cell_length_c 10.949
_cell_angle_alpha 90.00
_cell_angle_beta 90.00
_cell_angle_gamma 145.57
_space_group_name_H-M_alt 'P 1'
_space_group_IT_number 1
_space_group_name_Hall 'P 1'
loop_
_atom_site_label
_atom_site_type_symbol
_atom_site_fract_x
_atom_site_fract_y
_atom_site_fract_z
_atom_site_occupancy
Na1 Na 0.248 0.752 0.250 1
Na2 Na 0.752 0.248 0.750 1
Nd1 Nd 0.000 0.000 0.000 1
Nd2 Nd 0.000 0.000 0.500 1
S1 S 0.638 0.362 0.079 1
S2 S 0.923 0.077 0.250 1
S3 S 0.638 0.362 0.421 1
S4 S 0.362 0.638 0.579 1
S5 S 0.077 0.923 0.750 1
S6 S 0.362 0.638 0.921 1
Zn1 Zn 0.533 0.467 0.250 1
Zn2 Zn 0.467 0.533 0.750 1

8.
# NaNdZnS3 PBE-GGA optimized geometry
# volume: 24.91 Å³/atom
# space-group type: Pnma, No. 62
# total energy: -4.66 eV per atom
# calculated density: 3.65 g cm⁻³
data_NaNdZnS3
_chemical_formula_sum 'Na4 Nd4 Zn4 S12'
_cell_length_a 13.401
_cell_length_b 4.009
_cell_length_c 11.130
_cell_angle_alpha 90.00
_cell_angle_beta 90.00
_cell_angle_gamma 90.00
_space_group_name_H-M_alt 'P 1'
_space_group_IT_number 1
_space_group_name_Hall 'P 1'
loop_
_atom_site_label
_atom_site_type_symbol
_atom_site_fract_x
_atom_site_fract_y
_atom_site_fract_z
_atom_site_occupancy
Na1 Na 0.263 0.250 0.076 1
Na2 Na 0.763 0.250 0.424 1
Na3 Na 0.237 0.750 0.576 1
Na4 Na 0.737 0.750 0.924 1
Nd1 Nd 0.978 0.250 0.158 1
Nd2 Nd 0.478 0.250 0.342 1
Nd3 Nd 0.522 0.750 0.658 1
Nd4 Nd 0.022 0.750 0.842 1
S1 S 0.108 0.750 0.070 1
S2 S 0.589 0.250 0.104 1
S3 S 0.361 0.750 0.234 1
S4 S 0.861 0.750 0.266 1
S5 S 0.089 0.250 0.396 1
S6 S 0.608 0.750 0.430 1
S7 S 0.392 0.250 0.570 1
S8 S 0.911 0.750 0.604 1
S9 S 0.139 0.250 0.734 1
S10 S 0.639 0.250 0.766 1
S11 S 0.411 0.750 0.896 1
S12 S 0.892 0.250 0.930 1
Zn1 Zn 0.488 0.750 0.094 1
Zn2 Zn 0.988 0.750 0.406 1
Zn3 Zn 0.012 0.250 0.594 1
Zn4 Zn 0.512 0.250 0.906 1